Here is a relaxed structure of Al6VO12 from Alexandria. Energies are from GGA+U.

a = 5.6532 Å, b = 5.6532 Å, c = 5.6532 Å
α = 98.87°, β = 98.87°, γ = 98.87°
Closest atoms and distances in Å follow each position.
Positions (direct):
Al 0.1001 0.8387 0.6398  5 O 1.84-1.97
Al 0.1613 0.3602 0.8999  5 O 1.84-1.97
Al 0.3602 0.8999 0.1613  5 O 1.84-1.97
Al 0.6398 0.1001 0.8387  5 O 1.84-1.97
Al 0.8387 0.6398 0.1001  5 O 1.84-1.97
Al 0.8999 0.1613 0.3602  5 O 1.84-1.97
V 0.5000 0.5000 0.5000  6 O 1.89
O 0.0788 0.6782 0.8979  3 Al 1.84-1.93
O 0.1021 0.9212 0.3218  3 Al 1.84-1.93
O 0.1883 0.3762 0.5587  1 V 1.89, 2 Al 1.95-1.97
O 0.3218 0.1021 0.9212  3 Al 1.84-1.93
O 0.3762 0.5587 0.1883  1 V 1.89, 2 Al 1.95-1.97
O 0.4413 0.8117 0.6238  1 V 1.89, 2 Al 1.95-1.97
O 0.5587 0.1883 0.3762  1 V 1.89, 2 Al 1.95-1.97
O 0.6238 0.4413 0.8117  1 V 1.89, 2 Al 1.95-1.97
O 0.6782 0.8979 0.0788  3 Al 1.84-1.93
O 0.8117 0.6238 0.4413  1 V 1.89, 2 Al 1.95-1.97
O 0.8979 0.0788 0.6782  3 Al 1.84-1.93
O 0.9212 0.3218 0.1021  3 Al 1.84-1.93

## Properties
final energy	-137.50	eV for the cell shown
volume	9.1	Å³ per atom